Record 1
# PBE NbHgIr, relaxed
data_NbHgIr
_chemical_formula_sum 'Nb4 Hg4 Ir4'
_symmetry_space_group_name_H-M 'C 1 m 1'
_symmetry_Int_Tables_number 8
_cell_length_a 14.505
_cell_length_b 2.959
_cell_length_c 5.021
_cell_angle_alpha 90.00
_cell_angle_beta 96.58
_cell_angle_gamma 90.00
loop_
_symmetry_equiv_pos_as_xyz
'x,y,z'
'x,-y,z'
'x+1/2,y+1/2,z'
'x+1/2,-y+1/2,z'
loop_
_atom_site_label
_atom_site_type_symbol
_atom_site_fract_x
_atom_site_fract_y
_atom_site_fract_z
Nb1 Nb 0.000 0.000 0.000
Nb2 Nb 0.139 0.000 0.419
Hg1 Hg 0.318 0.000 0.140
Hg2 Hg 0.319 0.500 0.639
Ir1 Ir 0.147 0.500 0.910
Ir2 Ir 0.490 0.000 0.501
# Magnetization in Bohr magnetons per cell: 0.00
# Formation energy in eV/atom: -0.048
# Energy above the most stable polymorph in this dataset in kJ per mole of atoms: 5.7

---

Record 2
# PBE NbHgIr, relaxed
data_NbHgIr
_chemical_formula_sum 'Nb4 Hg4 Ir4'
_symmetry_space_group_name_H-M 'C 1 m 1'
_symmetry_Int_Tables_number 8
_cell_length_a 18.117
_cell_length_b 2.885
_cell_length_c 4.614
_cell_angle_alpha 90.00
_cell_angle_beta 97.77
_cell_angle_gamma 90.00
loop_
_symmetry_equiv_pos_as_xyz
'x,y,z'
'x,-y,z'
'x+1/2,y+1/2,z'
'x+1/2,-y+1/2,z'
loop_
_atom_site_label
_atom_site_type_symbol
_atom_site_fract_x
_atom_site_fract_y
_atom_site_fract_z
Nb1 Nb 0.000 0.000 0.000
Nb2 Nb 0.103 0.500 0.557
Hg1 Hg 0.253 0.000 0.645
Hg2 Hg 0.336 0.500 0.183
Ir1 Ir 0.136 0.000 0.075
Ir2 Ir 0.466 0.000 0.489
# Magnetization in Bohr magnetons per cell: 0.00
# Formation energy in eV/atom: -0.052
# Energy above the most stable polymorph in this dataset in kJ per mole of atoms: 5.2

---

Record 3
# PBE NbHgIr, relaxed
data_NbHgIr
_chemical_formula_sum 'Nb2 Hg2 Ir2'
_symmetry_space_group_name_H-M 'I 4 m m'
_symmetry_Int_Tables_number 107
_symmetry_space_group_name_Hall 'I 4 -2'
_cell_length_a 3.005
_cell_length_b 3.005
_cell_length_c 11.984
_cell_angle_alpha 90.00
_cell_angle_beta 90.00
_cell_angle_gamma 90.00
loop_
_atom_site_label
_atom_site_type_symbol
_atom_site_fract_x
_atom_site_fract_y
_atom_site_fract_z
Nb1 Nb 0.000 0.000 0.000
Hg1 Hg 0.000 0.000 0.687
Ir1 Ir 0.000 0.000 0.365
# Magnetization in Bohr magnetons per cell: 0.00
# Formation energy in eV/atom: -0.022
# Energy above the most stable polymorph in this dataset in kJ per mole of atoms: 8.1

---

Record 4
# PBE Nb2HgIr2, relaxed
data_Nb2HgIr2
_chemical_formula_sum 'Nb4 Hg2 Ir4'
_symmetry_space_group_name_H-M 'I 4/m m m'
_symmetry_Int_Tables_number 139
_symmetry_space_group_name_Hall '-I 4 2'
_cell_length_a 4.438
_cell_length_b 4.438
_cell_length_c 10.212
_cell_angle_alpha 90.00
_cell_angle_beta 90.00
_cell_angle_gamma 90.00
loop_
_atom_site_label
_atom_site_type_symbol
_atom_site_fract_x
_atom_site_fract_y
_atom_site_fract_z
Nb1 Nb 0.000 0.500 0.250
Hg1 Hg 0.000 0.000 0.000
Ir1 Ir 0.000 0.000 0.377
# Magnetization in Bohr magnetons per cell: 0.00
# Formation energy in eV/atom: -0.125
# Energy above the most stable polymorph in this dataset in kJ per mole of atoms: 17.3

---

Record 5
# PBE NbHg2Ir, relaxed
data_NbHg2Ir
_chemical_formula_sum 'Nb4 Hg8 Ir4'
_symmetry_space_group_name_H-M 'I -4 2 d'
_symmetry_Int_Tables_number 122
_symmetry_space_group_name_Hall 'I -4 2bw'
_cell_length_a 7.737
_cell_length_b 7.737
_cell_length_c 5.452
_cell_angle_alpha 90.00
_cell_angle_beta 90.00
_cell_angle_gamma 90.00
loop_
_atom_site_label
_atom_site_type_symbol
_atom_site_fract_x
_atom_site_fract_y
_atom_site_fract_z
Nb1 Nb 0.000 0.000 0.000
Hg1 Hg 0.237 0.250 0.625
Ir1 Ir 0.000 0.000 0.500
# Magnetization in Bohr magnetons per cell: 0.00
# Formation energy in eV/atom: 0.735
# Energy above the most stable polymorph in this dataset in kJ per mole of atoms: 30.8

---

Record 6
# PBE NbHgIr, relaxed
data_NbHgIr
_chemical_formula_sum 'Nb4 Hg4 Ir4'
_symmetry_space_group_name_H-M 'C 1 2/m 1'
_symmetry_Int_Tables_number 12
_cell_length_a 15.160
_cell_length_b 2.958
_cell_length_c 5.030
_cell_angle_alpha 90.00
_cell_angle_beta 108.99
_cell_angle_gamma 90.00
loop_
_symmetry_equiv_pos_as_xyz
'x,y,z'
'-x,-y,-z'
'-x,y,-z'
'x,-y,z'
'x+1/2,y+1/2,z'
'-x+1/2,-y+1/2,-z'
'-x+1/2,y+1/2,-z'
'x+1/2,-y+1/2,z'
loop_
_atom_site_label
_atom_site_type_symbol
_atom_site_fract_x
_atom_site_fract_y
_atom_site_fract_z
Nb1 Nb 0.072 0.000 0.386
Hg1 Hg 0.249 0.500 0.751
Ir1 Ir 0.076 0.500 0.898
# Magnetization in Bohr magnetons per cell: 0.00
# Formation energy in eV/atom: -0.058
# Energy above the most stable polymorph in this dataset in kJ per mole of atoms: 4.6

---

Record 7
# PBE NbHgIr, relaxed
data_NbHgIr
_chemical_formula_sum 'Nb8 Hg8 Ir8'
_symmetry_space_group_name_H-M 'F m m m'
_symmetry_Int_Tables_number 69
_symmetry_space_group_name_Hall '-F 2 2'
_cell_length_a 6.157
_cell_length_b 7.003
_cell_length_c 11.420
_cell_angle_alpha 90.00
_cell_angle_beta 90.00
_cell_angle_gamma 90.00
loop_
_atom_site_label
_atom_site_type_symbol
_atom_site_fract_x
_atom_site_fract_y
_atom_site_fract_z
Nb1 Nb 0.250 0.250 0.250
Hg1 Hg 0.000 0.190 0.000
Ir1 Ir 0.000 0.000 0.354
# Magnetization in Bohr magnetons per cell: 0.00
# Formation energy in eV/atom: 0.074
# Energy above the most stable polymorph in this dataset in kJ per mole of atoms: 17.4

---

Record 8
# PBE Nb2Hg2Ir, relaxed
data_Nb2Hg2Ir
_chemical_formula_sum 'Nb4 Hg4 Ir2'
_symmetry_space_group_name_H-M 'P 4/m b m'
_symmetry_Int_Tables_number 127
_symmetry_space_group_name_Hall '-P 4 2ab'
_cell_length_a 6.608
_cell_length_b 6.608
_cell_length_c 4.769
_cell_angle_alpha 90.00
_cell_angle_beta 90.00
_cell_angle_gamma 90.00
loop_
_atom_site_label
_atom_site_type_symbol
_atom_site_fract_x
_atom_site_fract_y
_atom_site_fract_z
Nb1 Nb 0.144 0.356 0.000
Hg1 Hg 0.164 0.664 0.500
Ir1 Ir 0.000 0.000 0.000
# Magnetization in Bohr magnetons per cell: 0.00
# Formation energy in eV/atom: 0.441
# Energy above the most stable polymorph in this dataset in kJ per mole of atoms: 0.0